DyErSbBr2, relaxed, DFT PBE; raw total energy = -4.766 eV per atom; total magnetic moment = 0.00 μB/atom
1.0
4.201 0.000 0.000
-2.101 3.639 0.000
0.000 0.000 10.751
Dy Er Sb Br
1 1 1 2
Cartesian
0.000 0.000 0.000
2.101 1.213 7.307
0.000 2.426 9.009
0.000 0.000 5.613
2.101 1.213 1.714